DFT (GGA-PBE) results for a geometry-optimized KScTa2 structure.

Properties
The formation energy comes out at 0.558 eV per atom. The calculation puts the total magnetic moment at 0.00 μB/atom. As for the theoretical density: 7.61 g cm⁻³. Its energy above the most stable polymorph in this dataset is 0 meV/atom.

Geometry as POSCAR:
```
KScTa2
1.0
1.744 -2.463 0.000
1.744 2.463 0.000
0.000 0.000 11.320
K Sc Ta
1 1 2
direct
0.000 0.000 0.000 K
0.500 0.500 0.315 Sc
0.000 0.000 0.524 Ta
0.500 0.500 0.710 Ta
```